Arrangement i

Material: Nd6YHo12
Method: DFT, GGA-PBE
State: optimized geometry

Cell: 8.676 8.676 8.676 Å, 79.66 79.66 79.66°
Fractional positions:
Nd 0.267 0.267 0.665
Nd 0.267 0.665 0.267
Nd 0.335 0.733 0.733
Nd 0.665 0.267 0.267
Nd 0.733 0.335 0.733
Nd 0.733 0.733 0.335
Y 0.500 0.500 0.500
Ho 0.014 0.014 0.696
Ho 0.014 0.696 0.014
Ho 0.015 0.363 0.363
Ho 0.304 0.986 0.986
Ho 0.363 0.015 0.363
Ho 0.363 0.363 0.015
Ho 0.637 0.637 0.985
Ho 0.637 0.985 0.637
Ho 0.696 0.014 0.014
Ho 0.985 0.637 0.637
Ho 0.986 0.304 0.986
Ho 0.986 0.986 0.304

Arrangement ii

Material: Nd6YHo12
Method: DFT, GGA-PBE
State: optimized geometry

Cell: 8.737 8.737 8.737 Å, 98.69 98.69 98.69°
Fractional positions:
Nd 0.156 0.597 0.597
Nd 0.403 0.403 0.844
Nd 0.403 0.844 0.403
Nd 0.597 0.156 0.597
Nd 0.597 0.597 0.156
Nd 0.844 0.403 0.403
Y 0.500 0.500 0.500
Ho 0.000 0.257 0.743
Ho 0.000 0.743 0.257
Ho 0.145 0.145 0.418
Ho 0.145 0.418 0.145
Ho 0.257 0.000 0.743
Ho 0.257 0.743 0.000
Ho 0.418 0.145 0.145
Ho 0.582 0.855 0.855
Ho 0.743 0.000 0.257
Ho 0.743 0.257 0.000
Ho 0.855 0.582 0.855
Ho 0.855 0.855 0.582

Which of them is most stable? Easy: arrangement i.

Arrangement i

Material: Nd3Y4Ho
Method: DFT, GGA-PBE
State: optimized geometry

Cell: 11.520 7.358 6.347 Å, 90.00 90.00 90.00°
Fractional positions:
Nd 0.000 0.126 0.000
Nd 0.250 0.125 0.330
Nd 0.250 0.875 0.830
Nd 0.500 0.874 0.500
Nd 0.750 0.125 0.330
Nd 0.750 0.875 0.830
Y 0.000 0.376 0.497
Y 0.000 0.623 0.997
Y 0.248 0.623 0.333
Y 0.252 0.377 0.833
Y 0.500 0.377 0.497
Y 0.500 0.624 0.997
Y 0.748 0.377 0.833
Y 0.752 0.623 0.333
Ho 0.000 0.872 0.498
Ho 0.500 0.128 0.998

Arrangement ii

Material: Nd3Y4Ho
Method: DFT, GGA-PBE
State: optimized geometry

Cell: 8.977 8.977 8.977 Å, 157.55 98.28 86.09°
Fractional positions:
Nd 0.000 0.000 0.000
Nd 0.257 0.757 0.500
Nd 0.743 0.243 0.500
Y 0.120 0.366 0.754
Y 0.388 0.634 0.754
Y 0.612 0.366 0.246
Y 0.880 0.634 0.246
Ho 0.500 0.500 0.000

Which of them is most stable? Easy: arrangement i.